Entry 1:
This record from Alexandria describes crystalline TbSm2Er at its relaxed geometry. The functional is GGA-PBE.

The structure in POSCAR format:
```
TbSm2Er
1.0
5.719 0.000 0.000
0.000 12.610 0.000
0.000 0.000 7.309
Tb Sm Er
4 8 4
Cartesian
5.394 8.418 5.480 Tb
2.535 10.497 1.825 Tb
5.394 2.113 5.484 Tb
2.535 4.192 1.829 Tb
2.534 1.060 3.653 Sm
2.536 7.365 3.647 Sm
5.395 11.550 7.302 Sm
5.393 5.245 7.308 Sm
5.393 11.550 3.656 Sm
5.395 5.245 3.662 Sm
2.536 1.060 0.007 Sm
2.534 7.365 0.002 Sm
5.395 2.109 1.829 Er
5.395 8.414 1.825 Er
2.535 10.501 5.480 Er
2.535 4.197 5.484 Er
```

Summary:
Formation energy   7 kJ/mol of formula units
E above lowest polymorph   4.9 meV/atom
DOS at the Fermi energy   1.72 states/eV per atom
V   131.8 Å³/f.u.

Entry 2:
This record from Alexandria describes crystalline SrNd4Sb5 at its relaxed geometry. The functional is GGA-PBE.

The structure in POSCAR format:
```
SrNd4Sb5
1.0
-3.162 3.193 0.676
-2.007 -0.695 -6.101
-4.852 -9.324 6.077
Sb Nd Sr
5 4 1
Cartesian
-6.060 -3.267 2.365 Sb
-3.163 -0.122 1.054 Sb
-1.003 -0.347 -3.051 Sb
-6.857 -6.704 -0.402 Sb
-3.960 -3.558 -1.713 Sb
-2.997 -3.255 1.356 Nd
-4.061 -0.355 -2.044 Nd
-5.959 -6.470 2.696 Nd
-7.023 -3.570 -0.704 Nd
0.000 0.000 0.000 Sr
```

Summary:
Uncorrected formation energy   -1099 meV/atom
DOS at the Fermi energy   0.47 states/eV per atom
V   337.0 Å³/f.u.

Entry 3:
This record from Alexandria describes crystalline KTcBr2 at its relaxed geometry. The functional is GGA-PBE.

The structure in POSCAR format:
```
KTcBr2
1.0
-3.628 1.643 -0.399
-1.100 -2.990 -2.320
-2.434 -3.886 6.129
Br Tc K
2 1 1
Cartesian
-3.255 -6.122 4.381 Br
-2.045 -4.192 1.332 Br
-4.464 -4.335 2.657 Tc
-2.697 -0.897 0.753 K
```

Summary:
Uncorrected formation energy   -139 meV/atom
E above lowest polymorph   53.1 meV/atom
DOS at the Fermi energy   0.43 states/eV per atom
V   120.7 Å³/f.u.

Entry 4:
This record from Alexandria describes crystalline Dy3Co4B4 at its relaxed geometry. The functional is GGA-PBE.

The structure in POSCAR format:
```
Dy3Co4B4
1.0
3.967 0.000 0.145
0.000 3.380 0.002
2.346 1.682 10.819
Dy Co B
3 4 4
Cartesian
0.000 0.000 0.000 Dy
2.423 3.374 7.635 Dy
3.891 1.688 3.331 Dy
1.956 1.689 1.341 Co
4.357 3.373 9.626 Co
1.808 3.376 4.648 Co
4.505 1.686 6.319 Co
3.751 3.376 5.388 B
2.562 1.686 5.578 B
4.377 1.684 8.561 B
1.937 3.377 2.405 B
```

Summary:
Formation energy   -396 kJ/mol of formula units
DOS at the Fermi energy   0.64 states/eV per atom
V   143.9 Å³/f.u.

Entry 5:
This record from Alexandria describes crystalline BaPuHgO6 at its relaxed geometry. The functional is GGA-PBE.

The structure in POSCAR format:
```
BaPuHgO6
1.0
6.169 0.179 0.092
3.240 5.250 -0.094
0.094 -0.165 5.219
O Ba Pu Hg
6 1 1 1
Cartesian
2.429 0.020 3.628 O
1.328 1.921 1.587 O
2.521 2.737 4.054 O
4.989 1.476 3.399 O
3.859 3.422 1.825 O
3.736 0.653 1.167 O
0.228 -0.091 5.214 Ba
3.193 1.733 2.609 Pu
6.415 3.589 2.606 Hg
```

Summary:
Uncorrected formation energy   -1819 meV/atom
DOS at the Fermi energy   0.00 states/eV per atom
V   165.8 Å³/f.u.

Entry 6:
This record from Alexandria describes crystalline Cd2GeC at its relaxed geometry. The functional is GGA-PBE.

The structure in POSCAR format:
```
Cd2GeC
1.0
-5.362 -0.823 3.174
3.215 -2.521 4.776
-0.618 2.342 5.787
Cd C Ge
4 2 2
Cartesian
-2.612 -0.958 10.895 Cd
-2.653 -0.175 3.761 Cd
0.734 -1.162 5.095 Cd
-0.998 0.291 7.723 Cd
-1.074 -1.672 3.975 C
0.762 -0.925 7.269 C
0.000 0.000 0.000 Ge
-3.526 -0.077 6.468 Ge
```

Summary:
Formation energy   450 kJ/mol of formula units
E above lowest polymorph   0.0 meV/atom
DOS at the Fermi energy   0.72 states/eV per atom
V   87.5 Å³/f.u.

Entry 7:
This record from Alexandria describes crystalline Pu2PPb at its relaxed geometry. The functional is GGA-PBE.

The structure in POSCAR format:
```
Pu2PPb
1.0
3.441 0.000 0.000
0.000 3.441 0.000
0.000 0.000 8.146
Pu P Pb
2 1 1
Cartesian
0.000 0.000 1.592 Pu
0.000 0.000 6.554 Pu
1.720 1.720 0.000 P
1.720 1.720 4.073 Pb
```

Summary:
Formation energy   -237 kJ/mol of formula units
E above lowest polymorph   0.0 meV/atom
DOS at the Fermi energy   2.92 states/eV per atom
V   96.5 Å³/f.u.

Entry 8:
This record from Alexandria describes crystalline Rh2W at its relaxed geometry. The functional is GGA-PBE.

The structure in POSCAR format:
```
Rh2W
1.0
1.382 -2.394 0.000
1.382 2.394 0.000
0.000 0.000 6.745
Rh W
2 1
Cartesian
1.382 0.798 4.549 Rh
1.382 -0.798 2.195 Rh
0.000 0.000 0.000 W
```

Summary:
Formation energy   -29 kJ/mol of formula units
DOS at the Fermi energy   0.44 states/eV per atom
V   44.6 Å³/f.u.

Entry 9:
This record from Alexandria describes crystalline Na2ZnF at its relaxed geometry. The functional is GGA-PBE.

The structure in POSCAR format:
```
Na2ZnF
1.0
0.141 -4.789 1.075
2.089 -1.518 4.177
-2.784 -1.784 3.631
Na F Zn
2 1 1
Cartesian
-0.416 -6.069 6.662 Na
-0.139 -2.023 2.221 Na
0.000 0.000 0.000 F
-0.277 -4.046 4.441 Zn
```

Summary:
Uncorrected formation energy   -753 meV/atom
E above lowest polymorph   353.7 meV/atom
DOS at the Fermi energy   0.73 states/eV per atom
V   83.7 Å³/f.u.

Entry 10:
This record from Alexandria describes crystalline AlBS at its relaxed geometry. The functional is GGA-PBE.

The structure in POSCAR format:
```
AlBS
1.0
-0.467 3.553 3.350
-3.116 0.363 -0.819
-2.956 -8.070 7.669
Al S B
4 4 4
Cartesian
-3.638 -3.115 6.043 Al
-0.602 0.738 2.619 Al
-4.383 -6.732 7.273 Al
-1.347 -2.879 3.849 Al
-2.446 -2.481 8.204 S
-2.526 1.735 3.961 S
-2.989 -5.437 8.961 S
-3.069 -1.220 4.717 S
-2.944 -3.684 9.567 B
-1.996 -0.077 1.141 B
-1.916 -4.293 5.385 B
-3.024 0.532 5.323 B
```

Summary:
Uncorrected formation energy   -19 meV/atom
E above lowest polymorph   359.5 meV/atom
DOS at the Fermi energy   0.19 states/eV per atom
V   45.8 Å³/f.u.

Entry 11:
This record from Alexandria describes crystalline LaTmSeS at its relaxed geometry. The functional is GGA-PBE.

The structure in POSCAR format:
```
LaTmSeS
1.0
-0.731 2.143 -3.237
-2.540 0.062 3.026
4.888 4.099 4.017
La S Se Tm
1 1 1 1
Cartesian
-2.073 0.688 2.879 La
2.560 4.140 4.116 S
0.179 3.708 -0.452 Se
2.430 3.688 1.437 Tm
```

Summary:
Uncorrected formation energy   -1901 meV/atom
DOS at the Fermi energy   0.28 states/eV per atom
V   97.1 Å³/f.u.

Entry 12:
This record from Alexandria describes crystalline Sr2Ac5Sn5 at its relaxed geometry. The functional is GGA-PBE.

The structure in POSCAR format:
```
Sr2Ac5Sn5
1.0
-0.030 -4.164 -2.171
8.034 2.267 0.619
-2.972 -6.244 12.018
Sr Sn Ac
2 5 5
Cartesian
6.607 -3.278 1.116 Sr
-1.576 -4.863 9.349 Sr
4.442 -5.528 5.462 Sn
0.589 -2.613 5.003 Sn
0.893 -7.040 8.411 Sn
4.138 -1.102 2.055 Sn
0.000 0.000 0.000 Sn
2.251 -3.940 7.526 Ac
2.358 -2.293 -0.713 Ac
2.673 -5.848 11.179 Ac
2.780 -4.201 2.940 Ac
-1.501 -5.204 4.923 Ac
```

Summary:
Formation energy   -619 kJ/mol of formula units
DOS at the Fermi energy   0.53 states/eV per atom
V   503.0 Å³/f.u.

no.,spin magnetization (μB/f.u.)
1,0.000
2,0.000
3,3.994
4,0.000
5,0.000
6,0.000
7,10.954
8,0.000
9,0.000
10,0.000
11,0.000
12,0.000